# DyCr2O8

Crystalline DyCr2O8 at its relaxed geometry (GGA+U, the Alexandria database).

Cell lengths 6.588, 6.588, 6.588 Å; angles 138.30, 138.30, 60.44 degrees
Fractional coordinates of all 11 atoms:
Dy: 0.000 0.000 0.000
Cr: 0.250 0.750 0.500
Cr: 0.750 0.250 0.500
O: 0.105 0.105 0.500
O: 0.105 0.605 0.000
O: 0.395 0.395 0.500
O: 0.395 0.895 0.000
O: 0.605 0.105 0.000
O: 0.605 0.605 0.500
O: 0.895 0.395 0.000
O: 0.895 0.895 0.500

Results
Total DFT energy (no corrections) in eV per formula unit: -71.59
D(E_F) in states/eV per cell: 2.8
Space-group type: No. 139